(1)
{"formula": "Rb3Np2Te6Pd", "functional": "PBE", "state": "optimized geometry", "sg": "No. 12", "raw_formation_energy_ev_per_atom": -0.719, "lattice_angstrom": [[4.000, -6.498, 0.000], [4.000, 6.498, 0.000], [-2.851, 0.000, 8.524]], "species": ["Rb", "Rb", "Rb", "Np", "Np", "Te", "Te", "Te", "Te", "Te", "Te", "Pd"], "fractional_positions": [[0.000, 0.000, 0.000], [0.327, 0.673, 0.000], [0.673, 0.327, 0.000], [0.166, 0.834, 0.500], [0.834, 0.166, 0.500], [0.132, 0.435, 0.320], [0.217, 0.217, 0.715], [0.435, 0.132, 0.320], [0.565, 0.868, 0.680], [0.783, 0.783, 0.285], [0.868, 0.565, 0.680], [0.500, 0.500, 0.500]]}

(2)
{"formula": "HfAl3Au3", "functional": "PBE", "state": "optimized geometry", "sg": "No. 148", "e_form_mev_per_atom": -327, "lattice_angstrom": [[3.863, 2.230, 5.496], [-3.863, 2.230, 5.496], [0.000, -4.460, 5.496]], "species": ["Hf", "Hf", "Al", "Al", "Al", "Al", "Al", "Al", "Au", "Au", "Au", "Au", "Au", "Au"], "fractional_positions": [[0.166, 0.166, 0.166], [0.834, 0.834, 0.834], [0.059, 0.724, 0.394], [0.276, 0.606, 0.941], [0.394, 0.059, 0.724], [0.606, 0.941, 0.276], [0.724, 0.394, 0.059], [0.941, 0.276, 0.606], [0.100, 0.427, 0.761], [0.239, 0.900, 0.573], [0.427, 0.761, 0.100], [0.573, 0.239, 0.900], [0.761, 0.100, 0.427], [0.900, 0.573, 0.239]]}

(3)
{"formula": "LaTmTh2", "functional": "PBE", "state": "optimized geometry", "sg": "No. 166", "e_form_mev_per_atom": 163, "de_polymorph_mev_per_atom": 135, "lattice_angstrom": [[3.497, 0.000, 0.000], [-1.749, 3.029, 0.000], [0.000, 0.000, 37.348]], "species": ["La", "La", "La", "Tm", "Tm", "Tm", "Th", "Th", "Th", "Th", "Th", "Th"], "fractional_positions": [[0.000, 0.000, 0.000], [0.333, 0.667, 0.667], [0.667, 0.333, 0.333], [0.000, 0.000, 0.500], [0.333, 0.667, 0.167], [0.667, 0.333, 0.833], [0.000, 0.000, 0.089], [0.000, 0.000, 0.911], [0.333, 0.667, 0.578], [0.333, 0.667, 0.756], [0.667, 0.333, 0.244], [0.667, 0.333, 0.422]]}

(4)
{"formula": "Fe2NiSe", "functional": "PBE", "state": "optimized geometry", "sg": "No. 122", "raw_formation_energy_ev_per_atom": 0.848, "lattice_angstrom": [[4.914, 0.000, 0.000], [0.000, 4.914, 0.000], [0.000, 0.000, 11.057]], "species": ["Fe", "Fe", "Fe", "Fe", "Fe", "Fe", "Fe", "Fe", "Ni", "Ni", "Ni", "Ni", "Se", "Se", "Se", "Se"], "fractional_positions": [[0.242, 0.250, 0.125], [0.250, 0.742, 0.375], [0.250, 0.758, 0.875], [0.258, 0.250, 0.625], [0.742, 0.750, 0.625], [0.750, 0.242, 0.875], [0.750, 0.258, 0.375], [0.758, 0.750, 0.125], [0.000, 0.000, 0.000], [0.000, 0.500, 0.250], [0.500, 0.000, 0.750], [0.500, 0.500, 0.500], [0.000, 0.000, 0.500], [0.000, 0.500, 0.750], [0.500, 0.000, 0.250], [0.500, 0.500, 0.000]]}

(5)
{"formula": "KSrIr4", "functional": "PBE", "state": "optimized geometry", "sg": "No. 216", "e_form_mev_per_atom": 154, "lattice_angstrom": [[0.000, 3.866, 3.866], [3.866, 0.000, 3.866], [3.866, 3.866, 0.000]], "species": ["K", "Sr", "Ir", "Ir", "Ir", "Ir"], "fractional_positions": [[0.000, 0.000, 0.000], [0.750, 0.750, 0.750], [0.375, 0.375, 0.375], [0.375, 0.375, 0.875], [0.375, 0.875, 0.375], [0.875, 0.375, 0.375]]}

(6)
{"formula": "WAuN", "functional": "PBE", "state": "optimized geometry", "sg": "No. 57", "raw_formation_energy_ev_per_atom": 0.185, "lattice_angstrom": [[7.789, 0.000, 0.000], [0.000, 6.084, 0.000], [0.000, 0.000, 4.111]], "species": ["W", "W", "W", "W", "Au", "Au", "Au", "Au", "N", "N", "N", "N"], "fractional_positions": [[0.105, 0.090, 0.250], [0.105, 0.410, 0.750], [0.895, 0.590, 0.250], [0.895, 0.910, 0.750], [0.415, 0.601, 0.750], [0.415, 0.899, 0.250], [0.585, 0.101, 0.750], [0.585, 0.399, 0.250], [0.128, 0.075, 0.750], [0.128, 0.425, 0.250], [0.872, 0.575, 0.750], [0.872, 0.925, 0.250]]}

(7)
{"formula": "SmU2O6", "functional": "PBE", "state": "optimized geometry", "sg": "No. 164", "raw_formation_energy_ev_per_atom": -3.390, "lattice_angstrom": [[3.864, 0.000, 0.000], [-1.932, 3.346, 0.000], [0.000, 0.000, 9.299]], "species": ["Sm", "U", "U", "O", "O", "O", "O", "O", "O"], "fractional_positions": [[0.000, 0.000, 0.000], [0.333, 0.667, 0.667], [0.667, 0.333, 0.333], [0.000, 0.000, 0.266], [0.000, 0.000, 0.734], [0.333, 0.667, 0.421], [0.333, 0.667, 0.900], [0.667, 0.333, 0.100], [0.667, 0.333, 0.579]]}

(8)
{"formula": "SiTc2BIr", "functional": "PBE", "state": "optimized geometry", "sg": "No. 123", "raw_formation_energy_ev_per_atom": 0.101, "lattice_angstrom": [[4.080, 0.000, 0.000], [0.000, 4.080, 0.000], [0.000, 0.000, 4.056]], "species": ["Si", "Tc", "Tc", "B", "Ir"], "fractional_positions": [[0.000, 0.000, 0.000], [0.000, 0.500, 0.500], [0.500, 0.000, 0.500], [0.500, 0.500, 0.500], [0.500, 0.500, 0.000]]}

(9)
{"formula": "Th3Zn3Au2", "functional": "PBE", "state": "optimized geometry", "sg": "No. 63", "e_form_mev_per_atom": -435, "lattice_angstrom": [[2.302, -5.334, 0.000], [2.302, 5.334, 0.000], [0.000, 0.000, 14.966]], "species": ["Th", "Th", "Th", "Th", "Th", "Th", "Zn", "Zn", "Zn", "Zn", "Zn", "Zn", "Au", "Au", "Au", "Au"], "fractional_positions": [[0.086, 0.914, 0.608], [0.086, 0.914, 0.892], [0.341, 0.659, 0.750], [0.659, 0.341, 0.250], [0.914, 0.086, 0.108], [0.914, 0.086, 0.392], [0.367, 0.633, 0.250], [0.390, 0.610, 0.539], [0.390, 0.610, 0.961], [0.610, 0.390, 0.039], [0.610, 0.390, 0.461], [0.633, 0.367, 0.750], [0.208, 0.792, 0.102], [0.208, 0.792, 0.398], [0.792, 0.208, 0.602], [0.792, 0.208, 0.898]]}

(10)
{"formula": "Cs3Tl9Pb2", "functional": "PBE", "state": "optimized geometry", "sg": "No. 71", "e_form_mev_per_atom": -65, "lattice_angstrom": [[-2.788, 6.181, 7.709], [2.788, -6.181, 7.709], [2.788, 6.181, -7.709]], "species": ["Cs", "Cs", "Cs", "Tl", "Tl", "Tl", "Tl", "Tl", "Tl", "Tl", "Tl", "Tl", "Pb", "Pb"], "fractional_positions": [[0.000, 0.000, 0.000], [0.295, 0.295, 0.000], [0.705, 0.705, 0.000], [0.018, 0.667, 0.351], [0.151, 0.872, 0.279], [0.316, 0.667, 0.649], [0.407, 0.128, 0.279], [0.500, 0.000, 0.500], [0.593, 0.872, 0.721], [0.684, 0.333, 0.351], [0.849, 0.128, 0.721], [0.982, 0.333, 0.649], [0.317, 0.500, 0.817], [0.683, 0.500, 0.183]]}

(11)
{"formula": "SrCrAg", "functional": "PBE", "state": "optimized geometry", "sg": "No. 216", "e_form_mev_per_atom": 484, "de_polymorph_mev_per_atom": 136, "lattice_angstrom": [[7.122, 0.000, 0.000], [0.000, 7.122, 0.000], [0.000, 0.000, 7.122]], "species": ["Sr", "Sr", "Sr", "Sr", "Cr", "Cr", "Cr", "Cr", "Ag", "Ag", "Ag", "Ag"], "fractional_positions": [[0.000, 0.000, 0.000], [0.000, 0.500, 0.500], [0.500, 0.000, 0.500], [0.500, 0.500, 0.000], [0.000, 0.000, 0.500], [0.000, 0.500, 0.000], [0.500, 0.000, 0.000], [0.500, 0.500, 0.500], [0.250, 0.250, 0.750], [0.250, 0.750, 0.250], [0.750, 0.250, 0.250], [0.750, 0.750, 0.750]]}

(12)
{"formula": "PuThGe", "functional": "PBE", "state": "optimized geometry", "sg": "No. 156", "e_form_mev_per_atom": -170, "de_polymorph_mev_per_atom": 319, "lattice_angstrom": [[4.926, 0.000, 0.000], [-2.463, 4.266, 0.000], [0.000, 0.000, 3.548]], "species": ["Pu", "Th", "Ge"], "fractional_positions": [[0.000, 0.000, 0.000], [0.667, 0.333, 0.392], [0.333, 0.667, 0.769]]}

(13)
{"formula": "Li2PaGaCl8", "functional": "PBE", "state": "optimized geometry", "sg": "No. 10", "raw_formation_energy_ev_per_atom": -1.599, "lattice_angstrom": [[6.280, 0.000, 0.000], [0.000, 8.941, 0.000], [-0.606, 0.000, 6.278]], "species": ["Li", "Li", "Pa", "Ga", "Cl", "Cl", "Cl", "Cl", "Cl", "Cl", "Cl", "Cl"], "fractional_positions": [[0.000, 0.166, 0.000], [0.000, 0.834, 0.000], [0.500, 0.500, 0.500], [0.500, 0.000, 0.500], [0.194, 0.000, 0.812], [0.236, 0.500, 0.777], [0.284, 0.290, 0.296], [0.284, 0.710, 0.296], [0.716, 0.290, 0.704], [0.716, 0.710, 0.704], [0.764, 0.500, 0.223], [0.806, 0.000, 0.188]]}

(14)
{"formula": "Ga3CuRh", "functional": "PBE", "state": "optimized geometry", "sg": "No. 14", "e_form_mev_per_atom": -271, "de_polymorph_mev_per_atom": 0, "lattice_angstrom": [[6.528, 0.000, 0.000], [0.000, 5.154, 0.000], [-4.933, 0.000, 9.035]], "species": ["Ga", "Ga", "Ga", "Ga", "Ga", "Ga", "Ga", "Ga", "Ga", "Ga", "Ga", "Ga", "Cu", "Cu", "Cu", "Cu", "Rh", "Rh", "Rh", "Rh"], "fractional_positions": [[0.010, 0.065, 0.212], [0.010, 0.435, 0.712], [0.208, 0.631, 0.096], [0.208, 0.869, 0.596], [0.430, 0.664, 0.882], [0.430, 0.836, 0.382], [0.570, 0.164, 0.618], [0.570, 0.336, 0.118], [0.792, 0.131, 0.404], [0.792, 0.369, 0.904], [0.990, 0.565, 0.288], [0.990, 0.935, 0.788], [0.194, 0.125, 0.047], [0.194, 0.375, 0.547], [0.806, 0.625, 0.453], [0.806, 0.875, 0.953], [0.371, 0.161, 0.842], [0.371, 0.339, 0.342], [0.629, 0.661, 0.658], [0.629, 0.839, 0.158]]}

(15)
{"formula": "Ti2V2Au", "functional": "PBE", "state": "optimized geometry", "sg": "No. 15", "e_form_mev_per_atom": -10, "de_polymorph_mev_per_atom": 0, "lattice_angstrom": [[6.861, -2.471, 0.000], [6.861, 2.471, 0.000], [-0.987, 0.000, 4.661]], "species": ["Ti", "Ti", "Ti", "Ti", "V", "V", "V", "V", "Au", "Au"], "fractional_positions": [[0.048, 0.723, 0.681], [0.277, 0.952, 0.819], [0.723, 0.048, 0.181], [0.952, 0.277, 0.319], [0.196, 0.385, 0.141], [0.385, 0.196, 0.641], [0.615, 0.804, 0.359], [0.804, 0.615, 0.859], [0.322, 0.678, 0.250], [0.678, 0.322, 0.750]]}

(16)
{"formula": "FeAgOs", "functional": "PBE", "state": "optimized geometry", "sg": "No. 107", "e_form_mev_per_atom": 428, "de_polymorph_mev_per_atom": 55, "lattice_angstrom": [[2.742, 0.000, 0.000], [0.000, 2.742, 0.000], [0.000, 0.000, 11.558]], "species": ["Fe", "Fe", "Ag", "Ag", "Os", "Os"], "fractional_positions": [[0.000, 0.000, 0.000], [0.500, 0.500, 0.500], [0.000, 0.000, 0.322], [0.500, 0.500, 0.822], [0.000, 0.000, 0.629], [0.500, 0.500, 0.129]]}

It is found that the electronic total energy values, taken in the order of the records, are -61.45, -66.60, -70.77, -91.19, -37.30, -96.00, -87.56, -41.19, -72.23, -32.19, -50.82, -26.88, -50.31, -87.54, -74.71, -42.52 eV for the cell shown.